The following is a PBE-GGA calculation of Rb2ZrO after structural relaxation, from the Alexandria database.

Computed properties:
* E_form (uncorrected): -0.60 eV per atom
* mass density: 2.6 g/cm3
* energy: -4.461 eV/atom
* density of states at the Fermi level: 7.29 states/eV/cell

Cell lengths 13.1725, 13.1725, 9.5402 Å; angles 46.34, 46.34, 90.00 degrees
With the nearest neighbours (Å) after each atom.
Positions (direct):
O 0.2500 0.7500 0.5000  2 Zr 2.06
O 0.5000 0.5000 0.0000  2 Zr 2.06
Rb 0.8750 0.6984 0.7500  2 O 3.47, 2 Zr 3.76
Rb 0.3750 0.5516 0.7500  2 O 3.47, 2 Zr 3.76
Rb 0.4484 0.1250 0.2500  2 O 3.47, 2 Zr 3.76
Rb 0.3016 0.6250 0.2500  2 O 3.47, 2 Zr 3.76
Zr 0.7500 0.2500 0.5000  2 O 2.06
Zr 0.0000 0.0000 0.0000  2 O 2.06